Below is a PBEsol-optimized structure of KAgS2, with properties calculated at the meta-GGA SCAN level.

Cell and atoms, written as POSCAR:
```
KAgS2
1.0
-2.5057 2.5057 8.3779
2.5057 -2.5057 8.3779
2.5057 2.5057 -8.3779
K Ag S
2 2 4
Cartesian
0.0000 0.0000 0.0000 K
0.0000 2.5057 4.1889 K
2.5057 0.0000 4.1889 Ag
0.0000 0.0000 8.3779 Ag
1.2529 -0.2429 6.2834 S
2.2629 1.2529 2.0945 S
1.2529 2.7486 -2.0945 S
0.2429 1.2529 10.4723 S
```

The total magnetization is 0.0 μB per cell. The calculation puts the total energy at -15.13 eV per atom. Its density is 3.332 Mg/m³. The formation energy (no corrections) is -37.4 kJ/mol of atoms.